Entry 1:
## LaPrTlCd (PBE)

Data for LaPrTlCd after structural relaxation.

```
LaPrTlCd
1.0
0.000 3.939 3.939
3.939 0.000 3.939
3.939 3.939 0.000
La Pr Tl Cd
1 1 1 1
Cartesian
0.000 0.000 0.000 La
3.939 3.939 3.939 Pr
5.908 5.908 5.908 Tl
1.969 1.969 1.969 Cd
```

Summary:
final energy	-3.62	eV/atom
space group	F-43m


Entry 2:
## La5PrTlCd2 (PBE)

Data for La5PrTlCd2 after structural relaxation.

```
La5PrTlCd2
1.0
-4.393 4.393 7.989
4.393 -4.393 7.989
4.393 4.393 -7.989
La Pr Tl Cd
10 2 2 4
Cartesian
0.000 0.000 0.000 La
6.208 1.815 -2.157 La
1.815 2.578 -2.157 La
6.208 1.815 2.157 La
1.815 2.578 2.157 La
0.000 0.000 7.989 La
2.578 1.815 5.832 La
-1.815 2.578 5.832 La
2.578 1.815 10.146 La
-1.815 2.578 10.146 La
0.000 0.000 3.995 Pr
0.000 0.000 11.984 Pr
4.393 0.000 3.995 Tl
0.000 4.393 3.995 Tl
3.435 0.958 0.000 Cd
3.435 -0.958 7.989 Cd
0.958 5.351 0.000 Cd
0.958 3.435 7.989 Cd
```

Summary:
final energy	-3.82	eV/atom
space group	I4/mcm


Entry 3:
## La2PrTl2Cd2 (PBE)

Data for La2PrTl2Cd2 after structural relaxation.

```
La2PrTl2Cd2
1.0
2.493 1.439 9.364
-2.493 1.439 9.364
0.000 -2.879 9.364
La Pr Tl Cd
2 1 2 2
Cartesian
0.000 0.000 3.913 La
0.000 0.000 24.180 La
0.000 0.000 0.000 Pr
0.000 0.000 7.632 Tl
0.000 0.000 20.461 Tl
0.000 0.000 11.791 Cd
0.000 0.000 16.302 Cd
```

Summary:
final energy	-3.26	eV/atom
space group	R-3m


Entry 4:
## LaPrTmCd (PBE)

Data for LaPrTmCd after structural relaxation.

```
LaPrTmCd
1.0
0.000 3.961 3.961
3.961 0.000 3.961
3.961 3.961 0.000
La Pr Tm Cd
1 1 1 1
Cartesian
0.000 0.000 0.000 La
3.961 3.961 3.961 Pr
1.980 1.980 1.980 Tm
5.941 5.941 5.941 Cd
```

Summary:
final energy	-3.84	eV/atom
space group	F-43m


Entry 5:
## LaPrTmCd (PBE)

Data for LaPrTmCd after structural relaxation.

```
LaPrTmCd
1.0
3.723 0.000 0.000
0.000 3.723 0.000
0.000 0.000 8.994
La Pr Tm Cd
1 1 1 1
Cartesian
0.000 0.000 0.000 La
1.862 1.862 6.367 Pr
1.862 1.862 2.450 Tm
0.000 0.000 4.225 Cd
```

Summary:
final energy	-3.91	eV/atom
space group	P4mm


Entry 6:
## La2Pr2TmCd5 (PBE)

Data for La2Pr2TmCd5 after structural relaxation.

```
La2Pr2TmCd5
1.0
10.868 0.000 0.000
0.000 10.868 0.000
0.000 0.000 4.866
La Pr Tm Cd
4 4 2 10
Cartesian
1.896 3.538 0.000 La
3.538 8.972 0.000 La
7.330 1.896 0.000 La
8.972 7.330 0.000 La
1.381 6.815 0.000 Pr
4.053 1.381 0.000 Pr
6.815 9.486 0.000 Pr
9.486 4.053 0.000 Pr
0.000 0.000 0.000 Tm
5.434 5.434 0.000 Tm
0.000 5.434 2.433 Cd
0.706 8.834 2.433 Cd
2.034 0.706 2.433 Cd
3.400 6.139 2.433 Cd
4.728 3.400 2.433 Cd
5.434 0.000 2.433 Cd
6.139 7.468 2.433 Cd
7.468 4.728 2.433 Cd
8.834 10.162 2.433 Cd
10.162 2.034 2.433 Cd
```

Summary:
final energy	-3.03	eV/atom
space group	P4/mbm


Entry 7:
## La2Pr2YCd5 (PBE)

Data for La2Pr2YCd5 after structural relaxation.

```
La2Pr2YCd5
1.0
10.881 0.000 0.000
0.000 10.881 0.000
0.000 0.000 4.897
La Pr Y Cd
4 4 2 10
Cartesian
1.901 3.540 0.000 La
3.540 8.981 0.000 La
7.341 1.901 0.000 La
8.981 7.341 0.000 La
1.377 6.817 0.000 Pr
4.064 1.377 0.000 Pr
6.817 9.505 0.000 Pr
9.505 4.064 0.000 Pr
0.000 0.000 0.000 Y
5.441 5.441 0.000 Y
0.000 5.441 2.449 Cd
0.727 8.833 2.449 Cd
2.048 0.727 2.449 Cd
3.392 6.168 2.449 Cd
4.713 3.392 2.449 Cd
5.441 0.000 2.449 Cd
6.168 7.489 2.449 Cd
7.489 4.713 2.449 Cd
8.833 10.154 2.449 Cd
10.154 2.048 2.449 Cd
```

Summary:
final energy	-3.25	eV/atom
space group	P4/mbm


Entry 8:
## La2Pr5Zn2Cd (PBE)

Data for La2Pr5Zn2Cd after structural relaxation.

```
La2Pr5Zn2Cd
1.0
12.803 0.000 0.000
0.000 12.803 0.000
0.000 0.000 3.896
La Pr Zn Cd
4 10 4 2
Cartesian
2.327 4.075 0.000 La
4.075 10.476 0.000 La
8.729 2.327 0.000 La
10.476 8.729 0.000 La
0.000 6.402 1.948 Pr
0.676 10.223 1.948 Pr
2.581 0.676 1.948 Pr
3.821 7.078 1.948 Pr
5.725 3.821 1.948 Pr
6.402 0.000 1.948 Pr
7.078 8.982 1.948 Pr
8.982 5.725 1.948 Pr
10.223 12.127 1.948 Pr
12.127 2.581 1.948 Pr
1.662 8.064 0.000 Zn
4.740 1.662 0.000 Zn
8.064 11.141 0.000 Zn
11.141 4.740 0.000 Zn
0.000 0.000 0.000 Cd
6.402 6.402 0.000 Cd
```

Summary:
final energy	-3.87	eV/atom
space group	P4/mbm


Calculated values (g cm⁻³) of theoretical density for the records, taken in order: 8.108; 6.810; 8.668; 7.500; 7.474; 7.458; 6.933; 6.372.
Calculated values (states/eV/atom) of Fermi-level density of states for the records, taken in order: 1.258; 1.436; 0.599; 1.260; 1.397; 0.716; 0.727; 1.456.
Calculated values (μB/cell) of spin magnetization for the records, taken in order: 0.6; 0.0; 0.0; 0.0; 0.0; 0.0; 0.0; 0.0.